DFT (PBE+U) results for crystalline NiCF3 at its relaxed geometry.

The space group is Pm-3m (No. 221) and the conventional cell measures 3.9360, 3.9360 and 3.9360 Å, with angles of 90.00, 90.00 and 90.00 degrees. Symmetry generates all atoms from Ni at (0.0000, 0.0000, 0.0000), C at (0.5000, 0.5000, 0.5000) and F at (0.0000, 0.0000, 0.5000).

The energy above the most stable polymorph in this dataset comes out at 0.0 meV/atom. The size of the total moment comes out at 3.00 μB/cell. The raw total energy is -3.546 eV/atom.